Density functional theory data (GGA+U) for a relaxed CrCuOsO2 crystal.

Cell: 3.6185 3.6185 5.0374 Å, 90.00 90.00 90.00°
Space group P4/mmm (No. 123)
Inequivalent atoms, fractional coordinates:
Cr 0.0000 0.0000 0.0000
Cu 0.0000 0.0000 0.5000
Os 0.5000 0.5000 0.0000
O 0.0000 0.5000 0.5000

Values from the calculation:
V, Å³ per atom: 13.19



Density functional theory data (GGA+U) for a relaxed CrCu2P2O6 crystal.

Cell: 4.8632 4.8632 6.3932 Å, 90.00 90.00 120.00°
Space group P-3 (No. 147)
Inequivalent atoms, fractional coordinates:
Cr 0.0000 0.0000 0.0000
Cu 0.3333 0.6667 0.6157
P 0.3333 0.6667 0.2738
O 0.0406 0.3530 0.1895

Values from the calculation:
V, Å³ per atom: 11.90



| no. | final energy (eV/atom) |
| --- | --- |
| 1 | -5.111 |
| 2 | -6.607 |